# 1
Here is LiTb3Nd3Se8 after structural relaxation from the Alexandria database. Energies are from PBE.

- calculated total energy (eV per atom) = -5.675
- formation energy from raw total energies (eV/atom) = -1.809

Unit cell a=8.2508 b=8.2508 c=20.3577 alpha=90.00 beta=90.00 gamma=120.00
Space group R-3m (No. 166, hexagonal axes)
Symmetry-distinct sites (fractional):
Li 0.0000 0.0000 0.0000 (multiplicity 3)
Tb 0.0000 0.5000 0.0000 (multiplicity 9)
Nd 0.0000 0.5000 0.5000 (multiplicity 9)
Se 0.0000 0.0000 0.2534 (multiplicity 6)
Se 0.0014 0.5007 0.7462 (multiplicity 18)


# 2
Here is Zr2CoCu after structural relaxation from the Alexandria database. Energies are from PBE.

- formation energy (eV per formula unit) = -0.8
- calculated total energy (eV per atom) = -7.268

Unit cell a=3.2300 b=3.1941 c=6.5396 alpha=90.00 beta=90.11 gamma=90.00
Space group P2/m (No. 10)
Symmetry-distinct sites (fractional):
Zr 0.0010 0.0000 0.2594 (multiplicity 2)
Co 0.5000 0.5000 0.5000 (multiplicity 1)
Cu 0.5000 0.5000 0.0000 (multiplicity 1)


# 3
Here is Zn2SiI after structural relaxation from the Alexandria database. Energies are from PBE.

- calculated total energy (eV per atom) = -1.694
- formation energy from raw total energies (eV/atom) = 0.686
- energy relative to the lowest polymorph listed for this composition (meV per atom) = 553

Unit cell a=6.9882 b=6.9882 c=6.9882 alpha=90.00 beta=90.00 gamma=90.00
Space group Fm-3m (No. 225)
Symmetry-distinct sites (fractional):
Zn 0.2500 0.2500 0.2500 (multiplicity 8)
Si 0.0000 0.0000 0.0000 (multiplicity 4)
I 0.0000 0.0000 0.5000 (multiplicity 4)


# 4
Here is LuInN2 after structural relaxation from the Alexandria database. Energies are from PBE.

- calculated total energy (eV per atom) = -6.780
- formation energy from raw total energies (eV/atom) = -0.802

Unit cell a=3.3796 b=3.3796 c=16.0298 alpha=90.00 beta=90.00 gamma=120.00
Space group R-3m (No. 166, hexagonal axes)
Symmetry-distinct sites (fractional):
Lu 0.0000 0.0000 0.0000 (multiplicity 3)
In 0.0000 0.0000 0.5000 (multiplicity 3)
N 0.0000 0.0000 0.2519 (multiplicity 6)